(1)
Entry from Alexandria: a relaxed Cs3Pa3NiSe8 crystal (PBE).

Properties
The volume comes out at 34.0 A^3/atom. As for the space-group type: C2/m (12). The formation energy (no corrections) comes out at -1.14 eV/atom. For the theoretical density, the calculation gives 5.8 g/cm³. For the total energy, the calculation gives -5.458 eV/atom.

abc: 8.551 8.174 9.589
angles: 112.64 90.00 121.54
Last column: magnetic moment on the atom in μB.
Fractional positions:
Cs 0.000 0.000 0.000  0.00
Cs 0.000 0.500 0.000  0.00
Cs 0.500 0.500 0.000  0.00
Pa 0.500 0.000 0.500  0.94
Pa 0.500 0.500 0.500  0.88
Pa 0.000 0.500 0.500  0.88
Ni 0.000 0.000 0.500  0.73
Se 0.269 0.538 0.309  -0.02
Se 0.731 0.462 0.691  -0.02
Se 0.801 0.602 0.341  -0.01
Se 0.199 0.398 0.659  -0.01
Se 0.762 0.052 0.311  -0.01
Se 0.238 0.948 0.689  -0.01
Se 0.291 0.052 0.311  -0.01
Se 0.709 0.948 0.689  -0.01

=====

(2)
Entry from Alexandria: a relaxed ZrNb2Mo crystal (PBE).

Properties
The volume comes out at 18.6 A^3/atom. As for the space-group type: Immm (71). The value obtained for the formation enthalpy at 0 K is -0.039 eV per atom. For the theoretical density, the calculation gives 8.3 g/cm³. For the total energy, the calculation gives -9.918 eV/atom.

abc: 3.306 4.769 5.547
angles: 115.52 107.34 90.00
Fractional positions:
Zr 0.000 0.500 0.000
Nb 0.767 0.766 0.533
Nb 0.233 0.234 0.467
Mo 0.500 0.000 0.000

=====

(3)
Entry from Alexandria: a relaxed KCu3P2 crystal (PBE).

Properties
The volume comes out at 19.1 A^3/atom. As for the space-group type: Immm (71). The value obtained for the formation enthalpy at 0 K is -0.139 eV per atom. For the theoretical density, the calculation gives 4.2 g/cm³. For the total energy, the calculation gives -4.174 eV/atom.

abc: 3.925 8.772 8.774
angles: 51.63 77.08 77.07
Fractional positions:
K 0.826 0.174 0.174
K 0.174 0.826 0.826
Cu 0.392 0.451 0.765
Cu 0.000 0.320 0.680
Cu 0.608 0.235 0.550
Cu 0.392 0.765 0.450
Cu 0.000 0.680 0.320
Cu 0.608 0.549 0.235
P 0.500 0.140 0.860
P 0.500 0.860 0.140
P 0.858 0.642 0.642
P 0.142 0.358 0.358

=====

(4)
Entry from Alexandria: a relaxed NaSiH2O4 crystal (PBE).

Properties
The volume comes out at 10.1 A^3/atom. As for the space-group type: I222 (23). For the theoretical density, the calculation gives 2.4 g/cm³. For the total energy, the calculation gives -5.653 eV/atom.

abc: 4.165 4.882 4.882
angles: 76.92 64.75 64.75
Last column: magnetic moment on the atom in μB.
Fractional positions:
Na 0.000 0.000 0.000  0.00
Si 0.500 0.500 0.500  -0.01
H 0.169 0.331 0.331  0.00
H 0.831 0.669 0.669  0.00
O 0.402 0.221 0.456  0.22
O 0.079 0.779 0.544  0.22
O 0.921 0.456 0.221  0.22
O 0.598 0.544 0.779  0.22

=====

(5)
Entry from Alexandria: a relaxed GaAg3Au6 crystal (PBE).

Properties
The volume comes out at 17.9 A^3/atom. As for the space-group type: P2_1/m (11). The value obtained for the formation enthalpy at 0 K is -0.061 eV per atom. For the theoretical density, the calculation gives 14.6 g/cm³. For the total energy, the calculation gives -3.185 eV/atom.

abc: 4.211 9.188 9.277
angles: 93.34 90.00 90.00
Fractional positions:
Ga 0.250 0.930 0.617
Ga 0.750 0.070 0.383
Ag 0.250 0.553 0.400
Ag 0.750 0.447 0.600
Ag 0.250 0.343 0.792
Ag 0.750 0.657 0.208
Ag 0.250 0.753 0.016
Ag 0.750 0.247 0.984
Au 0.250 0.452 0.095
Au 0.750 0.548 0.905
Au 0.250 0.157 0.186
Au 0.750 0.843 0.814
Au 0.250 0.644 0.707
Au 0.750 0.356 0.293
Au 0.250 0.245 0.492
Au 0.750 0.755 0.508
Au 0.250 0.872 0.329
Au 0.750 0.128 0.671
Au 0.250 0.048 0.889
Au 0.750 0.952 0.111

=====

(6)
Entry from Alexandria: a relaxed NaCd2Pt2 crystal (PBE).

Properties
The volume comes out at 21.2 A^3/atom. As for the space-group type: I4/mmm (139). The value obtained for the formation enthalpy at 0 K is -0.148 eV per atom. For the theoretical density, the calculation gives 10.0 g/cm³. For the total energy, the calculation gives -3.194 eV/atom.

abc: 4.025 4.025 7.141
angles: 73.63 73.63 90.00
Fractional positions:
Na 0.000 0.000 0.000
Pt 0.750 0.250 0.500
Pt 0.250 0.750 0.500
Cd 0.393 0.393 0.213
Cd 0.607 0.607 0.787

=====

(7)
Entry from Alexandria: a relaxed Tb2Ni15Rh2 crystal (PBE).

Properties
The volume comes out at 13.0 A^3/atom. As for the space-group type: R-3m (166). The value obtained for the formation enthalpy at 0 K is -0.199 eV per atom. For the theoretical density, the calculation gives 9.4 g/cm³. For the total energy, the calculation gives -6.025 eV/atom.

abc: 6.317 6.317 6.317
angles: 82.99 82.99 82.99
Last column: magnetic moment on the atom in μB.
Fractional positions:
Tb 0.342 0.342 0.342  -0.11
Tb 0.658 0.658 0.658  -0.11
Ni 0.500 0.000 0.000  0.56
Ni 0.000 0.000 0.500  0.56
Ni 0.000 0.500 0.000  0.56
Ni 0.000 0.703 0.297  0.50
Ni 0.703 0.297 0.000  0.50
Ni 0.297 0.000 0.703  0.50
Ni 0.297 0.703 0.000  0.50
Ni 0.703 0.000 0.297  0.50
Ni 0.000 0.297 0.703  0.50
Ni 0.158 0.653 0.653  0.54
Ni 0.653 0.653 0.158  0.54
Ni 0.653 0.158 0.653  0.54
Ni 0.842 0.347 0.347  0.54
Ni 0.347 0.347 0.842  0.54
Ni 0.347 0.842 0.347  0.54
Rh 0.104 0.104 0.104  0.56
Rh 0.896 0.896 0.896  0.56

=====

(8)
Entry from Alexandria: a relaxed AlSiOs crystal (PBE).

Properties
The volume comes out at 14.7 A^3/atom. As for the space-group type: Fmm2 (42). The formation energy (no corrections) comes out at 0.14 eV/atom. For the theoretical density, the calculation gives 9.2 g/cm³. For the total energy, the calculation gives -6.658 eV/atom.

abc: 6.604 6.315 2.844
angles: 83.04 71.65 25.31
Fractional positions:
Si 0.674 0.674 0.326
Os 0.328 0.328 0.672
Al 0.997 0.997 0.003